1.
Below is a relaxed Mo6Pd2Se crystal, with properties calculated at the PBE level.

Values from the calculation:
Crystal system = hexagonal
E = -77.26 eV per formula unit

Cell and atoms, written as CIF:
```
data_Mo6Pd2Se
_cell_length_a 7.6937
_cell_length_b 7.6937
_cell_length_c 2.7432
_cell_angle_alpha 90.00
_cell_angle_beta 90.00
_cell_angle_gamma 120.00
_space_group_name_H-M_alt 'P -6 2 m'
_space_group_IT_number 189
_space_group_name_Hall 'P -6 -2'
loop_
_atom_site_label
_atom_site_fract_x
_atom_site_fract_y
_atom_site_fract_z
Mo1 0.0000 0.2971 0.0000
Mo2 0.0000 0.6243 0.5000
Pd1 0.3333 0.6667 0.0000
Se1 0.0000 0.0000 0.5000
```



2.
Below is a relaxed SiMo2Pd crystal, with properties calculated at the PBE level.

Values from the calculation:
Crystal system = cubic
E = -32.11 eV per formula unit

Cell and atoms, written as CIF:
```
data_SiMo2Pd
_cell_length_a 6.2029
_cell_length_b 6.2029
_cell_length_c 6.2029
_cell_angle_alpha 90.00
_cell_angle_beta 90.00
_cell_angle_gamma 90.00
_space_group_name_H-M_alt 'F -4 3 m'
_space_group_IT_number 216
_space_group_name_Hall 'F -4 2 3'
loop_
_atom_site_label
_atom_site_fract_x
_atom_site_fract_y
_atom_site_fract_z
Si1 0.0000 0.0000 0.0000
Mo1 0.0000 0.0000 0.5000
Mo2 0.2500 0.2500 0.7500
Pd1 0.2500 0.2500 0.2500
```



3.
Below is a relaxed Si2MoPd crystal, with properties calculated at the PBE level.

Values from the calculation:
Crystal system = cubic
E = -26.07 eV per formula unit

Cell and atoms, written as CIF:
```
data_Si2MoPd
_cell_length_a 6.1749
_cell_length_b 6.1749
_cell_length_c 6.1749
_cell_angle_alpha 90.00
_cell_angle_beta 90.00
_cell_angle_gamma 90.00
_space_group_name_H-M_alt 'F -4 3 m'
_space_group_IT_number 216
_space_group_name_Hall 'F -4 2 3'
loop_
_atom_site_label
_atom_site_fract_x
_atom_site_fract_y
_atom_site_fract_z
Si1 0.0000 0.0000 0.0000
Si2 0.2500 0.2500 0.2500
Mo1 0.2500 0.2500 0.7500
Pd1 0.0000 0.0000 0.5000
```



4.
Below is a relaxed SmMoPd crystal, with properties calculated at the PBE level.

Values from the calculation:
Crystal system = cubic
ΔE to the lowest computed polymorph = 459 meV per atom
Energy of formation = 2.8 eV per formula unit

Cell and atoms, written as CIF:
```
data_SmMoPd
_cell_length_a 6.5965
_cell_length_b 6.5965
_cell_length_c 6.5965
_cell_angle_alpha 90.00
_cell_angle_beta 90.00
_cell_angle_gamma 90.00
_space_group_name_H-M_alt 'F -4 3 m'
_space_group_IT_number 216
_space_group_name_Hall 'F -4 2 3'
loop_
_atom_site_label
_atom_site_fract_x
_atom_site_fract_y
_atom_site_fract_z
Sm1 0.0000 0.0000 0.0000
Mo1 0.2500 0.2500 0.7500
Pd1 0.2500 0.2500 0.2500
```



5.
Below is a relaxed SmMoPd crystal, with properties calculated at the PBE level.

Values from the calculation:
Crystal system = cubic
ΔE to the lowest computed polymorph = 0 meV per atom
Energy of formation = 1.5 eV per formula unit

Cell and atoms, written as CIF:
```
data_SmMoPd
_cell_length_a 6.6083
_cell_length_b 6.6083
_cell_length_c 6.6083
_cell_angle_alpha 90.00
_cell_angle_beta 90.00
_cell_angle_gamma 90.00
_space_group_name_H-M_alt 'F -4 3 m'
_space_group_IT_number 216
_space_group_name_Hall 'F -4 2 3'
loop_
_atom_site_label
_atom_site_fract_x
_atom_site_fract_y
_atom_site_fract_z
Sm1 0.0000 0.0000 0.0000
Mo1 0.0000 0.0000 0.5000
Pd1 0.2500 0.2500 0.7500
```



6.
Below is a relaxed Sn2MoPd crystal, with properties calculated at the PBE level.

Values from the calculation:
Crystal system = cubic
E = -22.42 eV per formula unit

Cell and atoms, written as CIF:
```
data_Sn2MoPd
_cell_length_a 6.7532
_cell_length_b 6.7532
_cell_length_c 6.7532
_cell_angle_alpha 90.00
_cell_angle_beta 90.00
_cell_angle_gamma 90.00
_space_group_name_H-M_alt 'F -4 3 m'
_space_group_IT_number 216
_space_group_name_Hall 'F -4 2 3'
loop_
_atom_site_label
_atom_site_fract_x
_atom_site_fract_y
_atom_site_fract_z
Sn1 0.0000 0.0000 0.0000
Sn2 0.2500 0.2500 0.2500
Mo1 0.2500 0.2500 0.7500
Pd1 0.0000 0.0000 0.5000
```



7.
Below is a relaxed SnMoPd crystal, with properties calculated at the PBE level.

Values from the calculation:
Crystal system = cubic
E = -19.24 eV per formula unit

Cell and atoms, written as CIF:
```
data_SnMoPd
_cell_length_a 6.2251
_cell_length_b 6.2251
_cell_length_c 6.2251
_cell_angle_alpha 90.00
_cell_angle_beta 90.00
_cell_angle_gamma 90.00
_space_group_name_H-M_alt 'F -4 3 m'
_space_group_IT_number 216
_space_group_name_Hall 'F -4 2 3'
loop_
_atom_site_label
_atom_site_fract_x
_atom_site_fract_y
_atom_site_fract_z
Sn1 0.0000 0.0000 0.0000
Mo1 0.0000 0.0000 0.5000
Pd1 0.2500 0.2500 0.7500
```



8.
Below is a relaxed Sr2Mo3Pd2 crystal, with properties calculated at the PBE level.

Values from the calculation:
Crystal system = trigonal
E = -43.94 eV per formula unit

Cell and atoms, written as CIF:
```
data_Sr2Mo3Pd2
_cell_length_a 4.5493
_cell_length_b 4.5493
_cell_length_c 25.8031
_cell_angle_alpha 90.00
_cell_angle_beta 90.00
_cell_angle_gamma 120.00
_space_group_name_H-M_alt 'R 3 m'
_space_group_IT_number 160
_space_group_name_Hall 'R 3 -2"'
loop_
_atom_site_label
_atom_site_fract_x
_atom_site_fract_y
_atom_site_fract_z
Sr1 0.0000 0.0000 0.0000
Sr2 0.0000 0.0000 0.4380
Mo1 0.0000 0.0000 0.2620
Mo2 0.0000 0.0000 0.5733
Mo3 0.0000 0.0000 0.8760
Pd1 0.0000 0.0000 0.1632
Pd2 0.0000 0.0000 0.6961
```



9.
Below is a relaxed SrMoPd2 crystal, with properties calculated at the PBE level.

Values from the calculation:
Crystal system = cubic
E = -20.91 eV per formula unit

Cell and atoms, written as CIF:
```
data_SrMoPd2
_cell_length_a 6.6470
_cell_length_b 6.6470
_cell_length_c 6.6470
_cell_angle_alpha 90.00
_cell_angle_beta 90.00
_cell_angle_gamma 90.00
_space_group_name_H-M_alt 'F -4 3 m'
_space_group_IT_number 216
_space_group_name_Hall 'F -4 2 3'
loop_
_atom_site_label
_atom_site_fract_x
_atom_site_fract_y
_atom_site_fract_z
Sr1 0.0000 0.0000 0.0000
Mo1 0.2500 0.2500 0.2500
Pd1 0.0000 0.0000 0.5000
Pd2 0.2500 0.2500 0.7500
```



10.
Below is a relaxed TaMoPd crystal, with properties calculated at the PBE level.

Values from the calculation:
Crystal system = cubic
ΔE to the lowest computed polymorph = 0 meV per atom
Energy of formation = 2.3 eV per formula unit

Cell and atoms, written as CIF:
```
data_TaMoPd
_cell_length_a 6.1102
_cell_length_b 6.1102
_cell_length_c 6.1102
_cell_angle_alpha 90.00
_cell_angle_beta 90.00
_cell_angle_gamma 90.00
_space_group_name_H-M_alt 'F -4 3 m'
_space_group_IT_number 216
_space_group_name_Hall 'F -4 2 3'
loop_
_atom_site_label
_atom_site_fract_x
_atom_site_fract_y
_atom_site_fract_z
Ta1 0.0000 0.0000 0.0000
Mo1 0.0000 0.0000 0.5000
Pd1 0.2500 0.2500 0.7500
```



11.
Below is a relaxed TaMoPd2 crystal, with properties calculated at the PBE level.

Values from the calculation:
Crystal system = cubic
Energy of formation = 0.1 eV per formula unit

Cell and atoms, written as CIF:
```
data_TaMoPd2
_cell_length_a 6.3417
_cell_length_b 6.3417
_cell_length_c 6.3417
_cell_angle_alpha 90.00
_cell_angle_beta 90.00
_cell_angle_gamma 90.00
_space_group_name_H-M_alt 'F -4 3 m'
_space_group_IT_number 216
_space_group_name_Hall 'F -4 2 3'
loop_
_atom_site_label
_atom_site_fract_x
_atom_site_fract_y
_atom_site_fract_z
Ta1 0.0000 0.0000 0.0000
Mo1 0.2500 0.2500 0.2500
Pd1 0.0000 0.0000 0.5000
Pd2 0.2500 0.2500 0.7500
```



12.
Below is a relaxed TaMoPd4 crystal, with properties calculated at the PBE level.

Values from the calculation:
Crystal system = orthorhombic
Energy of formation = -1.7 eV per formula unit

Cell and atoms, written as CIF:
```
data_TaMoPd4
_cell_length_a 2.8179
_cell_length_b 3.9083
_cell_length_c 8.3917
_cell_angle_alpha 90.00
_cell_angle_beta 90.00
_cell_angle_gamma 90.00
_space_group_name_H-M_alt 'P m m m'
_space_group_IT_number 47
loop_
_space_group_symop_operation_xyz
'x,y,z'
'-x,-y,-z'
'-x,-y,z'
'x,y,-z'
'x,-y,-z'
'-x,y,z'
'-x,y,-z'
'x,-y,z'
loop_
_atom_site_label
_atom_site_fract_x
_atom_site_fract_y
_atom_site_fract_z
Ta1 0.0000 0.0000 0.0000
Mo1 0.5000 0.5000 0.5000
Pd1 0.0000 0.0000 0.3370
Pd2 0.5000 0.5000 0.1672
```



13.
Below is a relaxed TbMoPd crystal, with properties calculated at the PBE level.

Values from the calculation:
Crystal system = cubic
ΔE to the lowest computed polymorph = 85 meV per atom
Energy of formation = 1.3 eV per formula unit

Cell and atoms, written as CIF:
```
data_TbMoPd
_cell_length_a 6.4509
_cell_length_b 6.4509
_cell_length_c 6.4509
_cell_angle_alpha 90.00
_cell_angle_beta 90.00
_cell_angle_gamma 90.00
_space_group_name_H-M_alt 'F -4 3 m'
_space_group_IT_number 216
_space_group_name_Hall 'F -4 2 3'
loop_
_atom_site_label
_atom_site_fract_x
_atom_site_fract_y
_atom_site_fract_z
Tb1 0.0000 0.0000 0.0000
Mo1 0.0000 0.0000 0.5000
Pd1 0.2500 0.2500 0.7500
```



14.
Below is a relaxed TbMoPd crystal, with properties calculated at the PBE level.

Values from the calculation:
Crystal system = hexagonal
ΔE to the lowest computed polymorph = 0 meV per atom
Energy of formation = 1.1 eV per formula unit

Cell and atoms, written as CIF:
```
data_TbMoPd
_cell_length_a 7.9654
_cell_length_b 7.9654
_cell_length_c 3.0266
_cell_angle_alpha 90.00
_cell_angle_beta 90.00
_cell_angle_gamma 120.00
_space_group_name_H-M_alt 'P -6 2 m'
_space_group_IT_number 189
_space_group_name_Hall 'P -6 -2'
loop_
_atom_site_label
_atom_site_fract_x
_atom_site_fract_y
_atom_site_fract_z
Tb1 0.0000 0.2957 0.0000
Mo1 0.0000 0.0000 0.5000
Mo2 0.3333 0.6667 0.0000
Pd1 0.0000 0.6179 0.5000
```



15.
Below is a relaxed TcMoPd2 crystal, with properties calculated at the PBE level.

Values from the calculation:
Crystal system = cubic
Energy of formation = 0.8 eV per formula unit

Cell and atoms, written as CIF:
```
data_TcMoPd2
_cell_length_a 6.2501
_cell_length_b 6.2501
_cell_length_c 6.2501
_cell_angle_alpha 90.00
_cell_angle_beta 90.00
_cell_angle_gamma 90.00
_space_group_name_H-M_alt 'F -4 3 m'
_space_group_IT_number 216
_space_group_name_Hall 'F -4 2 3'
loop_
_atom_site_label
_atom_site_fract_x
_atom_site_fract_y
_atom_site_fract_z
Tc1 0.0000 0.0000 0.0000
Mo1 0.2500 0.2500 0.2500
Pd1 0.0000 0.0000 0.5000
Pd2 0.2500 0.2500 0.7500
```



In the order shown, the computed M_tot values come out to 0.004; 0.005; 0.001; 1.045; 1.079; 0.010; 0.668; 0.077; 0.012; 0.009; 0.039; 0.000; 0.748; 0.261; 0.108 μB per atom.